## SiBr (SCAN)

Data for a crystal of SiBr relaxed with PBEsol.

Unit cell a=5.6679 b=5.6679 c=5.7458 alpha=102.49 beta=102.49 gamma=40.13
Fractional positions:
Si (0.2403, 0.2403, 0.3879)
Si (0.7597, 0.7597, 0.6121)
Br (0.3995, 0.3995, 0.1897)
Br (0.6005, 0.6005, 0.8103)

Calculated values
The value obtained for the energy above the most stable polymorph in this dataset is 0.000 eV/atom. The calculation puts the formation energy without anion corrections at -45 meV per atom. Its space group is C2/m. The calculation puts the magnetic moment at 0.00 μB per cell.